[1]
TaCr2Te | PBE-GGA | relaxed

abc: 4.348 4.348 3.267
angles: 90.00 90.00 90.00
Space group P4/mmm (No. 123)
Unique sites:
Ta 0.000 0.000 0.000 [1 per cell]
Cr 0.000 0.500 0.500 [2 per cell]
Te 0.500 0.500 0.000 [1 per cell]

Formation energy without anion corrections = 26 kJ/mol of atoms
Mass density = 11.1 g/cm3

[2]
CdCo2Ru | PBE-GGA | relaxed

abc: 2.819 2.819 7.046
angles: 90.00 90.00 90.00
Space group P4mm (No. 99)
Unique sites:
Cd 0.000 0.000 0.000 [1 per cell]
Co 0.000 0.000 0.475 [1 per cell]
Co 0.500 0.500 0.281 [1 per cell]
Ru 0.500 0.500 0.697 [1 per cell]

Formation energy = 289 meV per atom
Mass density = 9.8 g/cm3

[3]
ReSiSN2 | PBE-GGA | relaxed

abc: 3.831 3.831 5.134
angles: 90.00 90.00 90.00
Space group P4/mmm (No. 123)
Unique sites:
Re 0.000 0.000 0.000 [1 per cell]
Si 0.500 0.500 0.500 [1 per cell]
S 0.000 0.000 0.500 [1 per cell]
N 0.000 0.500 0.000 [2 per cell]

Energy relative to the lowest polymorph listed for this composition = 0.000 eV per atom
Formation energy without anion corrections = 60 kJ/mol of atoms
Mass density = 6.0 g/cm3

[4]
KNiSb2 | PBE-GGA | relaxed

abc: 3.589 3.701 8.107
angles: 90.00 90.00 90.00
Space group Pmm2 (No. 25)
Unique sites:
K 0.000 0.000 0.000 [1 per cell]
Ni 0.500 0.500 0.372 [1 per cell]
Sb 0.000 0.000 0.420 [1 per cell]
Sb 0.500 0.500 0.688 [1 per cell]

Energy relative to the lowest polymorph listed for this composition = 0.306 eV per atom
Formation energy without anion corrections = 1 kJ/mol of atoms
Mass density = 5.3 g/cm3

[5]
BePd2CCl | PBE-GGA | relaxed

abc: 4.383 4.383 3.984
angles: 90.00 90.00 90.00
Space group P4/mmm (No. 123)
Unique sites:
Be 0.000 0.000 0.000 [1 per cell]
Pd 0.000 0.500 0.000 [2 per cell]
C 0.500 0.500 0.500 [1 per cell]
Cl 0.000 0.000 0.500 [1 per cell]

Formation energy without anion corrections = 135 kJ/mol of atoms
Mass density = 5.8 g/cm3

[6]
CoSbTe2Pt | PBE-GGA | relaxed

abc: 4.984 4.984 4.711
angles: 90.00 90.00 90.00
Space group P4/mmm (No. 123)
Unique sites:
Co 0.000 0.000 0.000 [1 per cell]
Sb 0.000 0.000 0.500 [1 per cell]
Te 0.000 0.500 0.000 [2 per cell]
Pt 0.500 0.500 0.500 [1 per cell]

Energy relative to the lowest polymorph listed for this composition = 0.000 eV per atom
Formation energy without anion corrections = 55 kJ/mol of atoms
Mass density = 9.0 g/cm3

[7]
Tm3Tl3GaS8 | PBE-GGA | relaxed

abc: 13.530 7.812 8.637
angles: 90.00 121.40 90.00
Space group C2/m (No. 12)
Unique sites:
Tm 0.000 0.000 0.000 [2 per cell]
Tm 0.250 0.250 0.000 [4 per cell]
Tl 0.000 0.500 0.500 [2 per cell]
Tl 0.250 0.250 0.500 [4 per cell]
Ga 0.000 0.500 0.000 [2 per cell]
S 0.015 0.265 0.810 [8 per cell]
S 0.220 0.500 0.190 [4 per cell]
S 0.233 0.000 0.200 [4 per cell]

Formation energy without anion corrections = -116 kJ/mol of atoms
Mass density = 6.2 g/cm3

[8]
RbSr2ReBr | PBE-GGA | relaxed

abc: 6.174 6.174 4.709
angles: 90.00 90.00 90.00
Space group P4/mmm (No. 123)
Unique sites:
Rb 0.000 0.000 0.000 [1 per cell]
Sr 0.000 0.500 0.500 [2 per cell]
Re 0.500 0.500 0.000 [1 per cell]
Br 0.500 0.500 0.500 [1 per cell]

Formation energy without anion corrections = 63 kJ/mol of atoms
Mass density = 4.9 g/cm3